w | This record from the Alexandria database describes an optimized crystal structure of CoReP2. The functional is GGA-PBE.

abc: 7.299 7.299 7.299
angles: 23.18 23.18 23.18
Element x y z (fractional)
Co  0.000  0.000  0.000
Re  0.232  0.232  0.232
P  0.487  0.487  0.487
P  0.731  0.731  0.731

- total moment (μB/f.u.) = 0.1

***

x | This record from the Alexandria database describes an optimized crystal structure of CoReP2. The functional is GGA-PBE.

abc: 3.226 3.817 4.490
angles: 90.00 96.07 90.00
Element x y z (fractional)
Co  0.000  0.000  0.000
Re  0.500  0.000  0.500
P  0.307  0.500  0.186
P  0.693  0.500  0.814

- total moment (μB/f.u.) = 0.0

***

y | This record from the Alexandria database describes an optimized crystal structure of CoReP2. The functional is GGA-PBE.

abc: 2.830 2.830 7.362
angles: 90.00 90.00 90.00
Element x y z (fractional)
Co  0.000  0.000  0.000
Re  0.500  0.500  0.753
P  0.000  0.000  0.557
P  0.500  0.500  0.159

- total moment (μB/f.u.) = 0.8

***

z | This record from the Alexandria database describes an optimized crystal structure of CoReP2. The functional is GGA-PBE.

abc: 2.853 2.853 7.199
angles: 90.00 90.00 116.19
Element x y z (fractional)
Co  0.000  0.000  0.000
Re  0.000  0.000  0.500
P  0.500  0.500  0.235
P  0.500  0.500  0.765

- total moment (μB/f.u.) = 0.0

***

Tell me which of them is the least stable. Sure, it is z.

***

w | This record from the Alexandria database describes an optimized crystal structure of CoReP2. The functional is GGA-PBE.

abc: 2.944 4.286 3.982
angles: 90.00 90.00 90.00
Element x y z (fractional)
Co  0.000  0.000  0.000
Re  0.500  0.500  0.278
P  0.000  0.500  0.781
P  0.500  0.000  0.546

- total moment (μB/f.u.) = 0.0

***

x | This record from the Alexandria database describes an optimized crystal structure of CoReP2. The functional is GGA-PBE.

abc: 6.266 6.266 6.266
angles: 131.40 131.40 71.18
Element x y z (fractional)
Co  0.000  0.000  0.000
Co  0.750  0.250  0.500
Re  0.250  0.750  0.500
Re  0.500  0.500  0.000
P  0.104  0.625  0.979
P  0.375  0.354  0.479
P  0.646  0.125  0.021
P  0.875  0.896  0.521

- total moment (μB/f.u.) = 0.0

***

Tell me which of them is the least stable. Sure, it is x.

***

w | This record from the Alexandria database describes an optimized crystal structure of CoReP2. The functional is GGA-PBE.

abc: 4.122 4.122 4.122
angles: 60.00 60.00 60.00
Element x y z (fractional)
Co  0.000  0.000  0.000
Re  0.500  0.500  0.500
P  0.250  0.250  0.250
P  0.750  0.750  0.750

- total moment (μB/f.u.) = 0.7

***

x | This record from the Alexandria database describes an optimized crystal structure of CoReP2. The functional is GGA-PBE.

abc: 4.186 4.186 4.186
angles: 60.00 60.00 60.00
Element x y z (fractional)
Co  0.000  0.000  0.000
Re  0.250  0.250  0.250
P  0.500  0.500  0.500
P  0.750  0.750  0.750

- total moment (μB/f.u.) = 0.2

***

y | This record from the Alexandria database describes an optimized crystal structure of CoReP2. The functional is GGA-PBE.

abc: 5.818 5.818 5.818
angles: 149.57 148.52 44.36
Element x y z (fractional)
Co  0.000  0.000  0.000
Re  0.743  0.243  0.500
P  0.343  0.843  0.500
P  0.571  0.571  0.000

- total moment (μB/f.u.) = 0.0

***

Tell me which of them is the least stable. Sure, it is x.

***

w | This record from the Alexandria database describes an optimized crystal structure of CoReP2. The functional is GGA-PBE.

abc: 4.273 4.273 4.232
angles: 103.14 103.14 41.66
Element x y z (fractional)
Co  0.000  0.000  0.000
Re  0.228  0.228  0.584
P  0.493  0.493  0.423
P  0.728  0.728  0.069

- total moment (μB/f.u.) = 0.0

***

x | This record from the Alexandria database describes an optimized crystal structure of CoReP2. The functional is GGA-PBE.

abc: 2.946 2.946 5.600
angles: 90.00 90.00 90.00
Element x y z (fractional)
Co  0.000  0.000  0.000
Re  0.000  0.000  0.500
P  0.500  0.500  0.241
P  0.500  0.500  0.759

- total moment (μB/f.u.) = 0.3

***

y | This record from the Alexandria database describes an optimized crystal structure of CoReP2. The functional is GGA-PBE.

abc: 3.100 3.100 5.165
angles: 90.00 90.00 90.00
Element x y z (fractional)
Co  0.000  0.000  0.000
Re  0.500  0.500  0.627
P  0.000  0.000  0.429
P  0.500  0.500  0.115

- total moment (μB/f.u.) = 0.0

***

z | This record from the Alexandria database describes an optimized crystal structure of CoReP2. The functional is GGA-PBE.

abc: 3.970 3.970 4.731
angles: 99.27 99.27 43.38
Element x y z (fractional)
Co  0.000  0.000  0.000
Re  0.500  0.500  0.500
P  0.243  0.243  0.757
P  0.757  0.757  0.243

- total moment (μB/f.u.) = 0.0

***

Tell me which of them is the least stable. Sure, it is z.

***

w | This record from the Alexandria database describes an optimized crystal structure of CoReP3. The functional is GGA-PBE.

abc: 4.583 4.583 4.583
angles: 90.00 90.00 90.00
Element x y z (fractional)
Co  0.000  0.000  0.000
Re  0.500  0.500  0.500
P  0.000  0.500  0.500
P  0.500  0.000  0.500
P  0.500  0.500  0.000

- total moment (μB/f.u.) = 0.0

***

x | This record from the Alexandria database describes an optimized crystal structure of CoReP3. The functional is GGA-PBE.

abc: 4.235 4.235 4.235
angles: 90.00 90.00 90.00
Element x y z (fractional)
Co  0.000  0.000  0.000
Re  0.500  0.500  0.500
P  0.000  0.000  0.500
P  0.000  0.500  0.000
P  0.500  0.000  0.000

- total moment (μB/f.u.) = 0.0

***

Tell me which of them is the least stable. Sure, it is w.

***

w | This record from the Alexandria database describes an optimized crystal structure of CoReP. The functional is GGA-PBE.

abc: 3.843 3.843 3.843
angles: 60.00 60.00 60.00
Element x y z (fractional)
Co  0.000  0.000  0.000
Re  0.500  0.500  0.500
P  0.250  0.250  0.250

- total moment (μB/f.u.) = 0.5

***

x | This record from the Alexandria database describes an optimized crystal structure of CoReP. The functional is GGA-PBE.

abc: 4.886 4.886 4.886
angles: 145.87 145.87 49.04
Element x y z (fractional)
Co  0.000  0.000  0.000
Re  0.701  0.701  0.000
P  0.360  0.360  0.000

- total moment (μB/f.u.) = 0.0

***

y | This record from the Alexandria database describes an optimized crystal structure of CoReP. The functional is GGA-PBE.

abc: 3.967 3.967 2.757
angles: 90.00 90.00 120.00
Element x y z (fractional)
Co  0.000  0.000  0.000
Re  0.333  0.667  0.470
P  0.667  0.333  0.214

- total moment (μB/f.u.) = 0.8

***

z | This record from the Alexandria database describes an optimized crystal structure of CoReP. The functional is GGA-PBE.

abc: 5.623 3.795 6.720
angles: 90.00 90.00 90.00
Element x y z (fractional)
Co  0.140  0.250  0.072
Co  0.360  0.750  0.572
Co  0.640  0.250  0.428
Co  0.860  0.750  0.928
Re  0.027  0.250  0.669
Re  0.473  0.750  0.169
Re  0.527  0.250  0.831
Re  0.973  0.750  0.331
P  0.240  0.750  0.881
P  0.260  0.250  0.381
P  0.740  0.750  0.619
P  0.760  0.250  0.119

- total moment (μB/f.u.) = 0.0

***

Tell me which of them is the least stable. Sure, it is y.

***

w | This record from the Alexandria database describes an optimized crystal structure of Co3ReP. The functional is GGA-PBE.

abc: 4.421 4.421 4.421
angles: 90.00 90.00 90.00
Element x y z (fractional)
Co  0.000  0.000  0.500
Co  0.000  0.500  0.000
Co  0.500  0.000  0.000
Re  0.000  0.000  0.000
P  0.500  0.500  0.500

- total moment (μB/f.u.) = 0.1

***

x | This record from the Alexandria database describes an optimized crystal structure of Co3ReP. The functional is GGA-PBE.

abc: 4.074 4.074 4.074
angles: 90.00 90.00 90.00
Element x y z (fractional)
Co  0.000  0.000  0.500
Co  0.000  0.500  0.000
Co  0.500  0.000  0.000
Re  0.500  0.500  0.500
P  0.000  0.000  0.000

- total moment (μB/f.u.) = 5.3

***

Tell me which of them is the least stable. Sure, it is w.

***

w | This record from the Alexandria database describes an optimized crystal structure of CoReP2S. The functional is GGA-PBE.

abc: 4.612 4.612 4.666
angles: 90.00 90.00 90.00
Element x y z (fractional)
Co  0.000  0.000  0.000
Re  0.500  0.500  0.500
P  0.000  0.500  0.500
P  0.500  0.000  0.500
S  0.500  0.500  0.000

- total moment (μB/f.u.) = 2.2

***

x | This record from the Alexandria database describes an optimized crystal structure of CoReP2S. The functional is GGA-PBE.

abc: 4.213 4.213 4.319
angles: 90.00 90.00 90.00
Element x y z (fractional)
Co  0.000  0.000  0.000
Re  0.500  0.500  0.500
P  0.000  0.500  0.000
P  0.500  0.000  0.000
S  0.000  0.000  0.500

- total moment (μB/f.u.) = 0.0

***

Tell me which of them is the least stable. Sure, it is x.